## CdCoN3 (PBE-GGA)

Data for CdCoN3 after structural relaxation.

Properties
* E: -3.62 eV/atom
* DOS(E_F): 6.01 states/eV per cell

a b c (Å): 4.0580 4.0580 4.0580
angles (deg): 90.00 90.00 90.00
Fractional coordinates of all 5 atoms:
Cd: 0.0000 0.0000 0.0000
Co: 0.5000 0.5000 0.5000
N: 0.5000 0.0000 0.0000
N: 0.0000 0.5000 0.0000
N: 0.0000 0.0000 0.5000